Cu3Pd4Au5, relaxed, DFT PBE; crystal system = monoclinic; total energy = -4.0052 eV per atom; magnetic moment = 0.00 μB/f.u.
1.0
-0.888 -3.656 2.923
8.638 -6.943 -2.177
5.818 -2.464 2.569
Cu Pd Au
3 4 5
Direct
0.341 0.693 0.624 Cu
0.000 0.500 0.500 Cu
0.659 0.307 0.376 Cu
0.053 0.194 0.700 Pd
0.185 0.876 0.754 Pd
0.815 0.124 0.246 Pd
0.947 0.806 0.300 Pd
0.728 0.691 0.852 Au
0.500 0.500 0.500 Au
0.581 0.917 0.920 Au
0.419 0.083 0.080 Au
0.272 0.309 0.148 Au